Arrangement w

First-principles (GGA-PBE) data for a geometry-optimized Tm4TlTe structure, as listed in Alexandria.

The space group is P2_1/m (No. 11) and the conventional cell measures 6.091, 6.445 and 8.488 Å, with angles of 90.00, 92.46 and 90.00 degrees. The asymmetric unit holds Tm at (0.126, 0.250, 0.344), Tm at (0.154, 0.750, 0.039), Tm at (0.358, 0.002, 0.694), Tl at (0.192, 0.750, 0.389) and Te at (0.342, 0.250, 0.026).

Arrangement x

First-principles (GGA-PBE) data for a geometry-optimized Tm4TlTe structure, as listed in Alexandria.

The space group is Pnma (No. 62) and the conventional cell measures 7.292, 4.607 and 20.632 Å, with angles of 90.00, 90.00 and 90.00 degrees. The asymmetric unit holds Tm at (0.051, 0.250, 0.076), Tm at (0.067, 0.250, 0.359), Tm at (0.090, 0.250, 0.783), Tm at (0.139, 0.250, 0.528), Tl at (0.216, 0.250, 0.927) and Te at (0.201, 0.250, 0.215).

The data favor arrangement w; the next most stable structure lies 29 meV per atom above it.

Arrangement w

First-principles (GGA-PBE) data for a geometry-optimized Tm3TlTe structure, as listed in Alexandria.

The space group is C2/c (No. 15) and the conventional cell measures 14.336, 10.951 and 7.612 Å, with angles of 90.00, 91.33 and 90.00 degrees. The asymmetric unit holds Tm at (0.091, 0.228, 0.422), Tm at (0.100, 0.446, 0.093), Tm at (0.151, 0.142, 0.956), Tl at (0.000, 0.000, 0.250), Tl at (0.000, 0.326, 0.750) and Te at (0.250, 0.083, 0.609).

Arrangement x

First-principles (GGA-PBE) data for a geometry-optimized Tm3TlTe structure, as listed in Alexandria.

The space group is Pnma (No. 62) and the conventional cell measures 11.854, 3.889 and 12.518 Å, with angles of 90.00, 90.00 and 90.00 degrees. The asymmetric unit holds Tm at (0.066, 0.250, 0.134), Tm at (0.137, 0.750, 0.551), Tm at (0.220, 0.250, 0.776), Tl at (0.021, 0.750, 0.324) and Te at (0.170, 0.750, 0.968).

The data favor arrangement x; the next most stable structure lies 54 meV per atom above it.

Arrangement w

First-principles (GGA-PBE) data for a geometry-optimized Tm2TlTe structure, as listed in Alexandria.

The space group is R3m (No. 160, hexagonal axes) and the conventional cell measures 3.9857, 3.9857 and 25.1933 Å, with angles of 90.00, 90.00 and 120.00 degrees. The asymmetric unit holds Tm at (0.0000, 0.0000, 0.0000), Tm at (0.0000, 0.0000, 0.1765), Tl at (0.0000, 0.0000, 0.7554) and Te at (0.0000, 0.0000, 0.5874).

Arrangement x

First-principles (GGA-PBE) data for a geometry-optimized Tm2TlTe structure, as listed in Alexandria.

The space group is R-3m (No. 166, hexagonal axes) and the conventional cell measures 4.1320, 4.1320 and 23.3047 Å, with angles of 90.00, 90.00 and 120.00 degrees. The asymmetric unit holds Tm at (0.0000, 0.0000, 0.2503), Tl at (0.0000, 0.0000, 0.5000) and Te at (0.0000, 0.0000, 0.0000).

The data favor arrangement x; the next most stable structure lies 69 meV per atom above it.

Arrangement w

First-principles (GGA-PBE) data for a geometry-optimized Tm2TlTe structure, as listed in Alexandria.

The space group is C2/m (No. 12) and the conventional cell measures 12.744, 6.181 and 6.165 Å, with angles of 90.00, 109.10 and 90.00 degrees. The asymmetric unit holds Tm at (0.126, 0.000, 0.423), Tm at (0.131, 0.500, 0.883), Tl at (0.111, 0.000, 0.915) and Te at (0.123, 0.500, 0.378).

Arrangement x

First-principles (GGA-PBE) data for a geometry-optimized Tm2TlTe structure, as listed in Alexandria.

The space group is P4/mmm (No. 123) and the conventional cell measures 3.646, 3.646 and 8.059 Å, with angles of 90.00, 90.00 and 90.00 degrees. The asymmetric unit holds Tm at (0.000, 0.000, 0.238), Tl at (0.500, 0.500, 0.500) and Te at (0.500, 0.500, 0.000).

The data favor arrangement w; the next most stable structure lies 100 meV per atom above it.

Arrangement w

First-principles (GGA-PBE) data for a geometry-optimized Tm5Tl2Te structure, as listed in Alexandria.

The space group is P1 (No. 1) and the conventional cell measures 6.345, 6.348 and 6.819 Å, with angles of 110.07, 109.82 and 100.40 degrees. The asymmetric unit holds Tm at (0.000, 0.000, 0.000), Tm at (0.008, 0.615, 0.470), Tm at (0.449, 0.447, 0.008), Tm at (0.529, 0.527, 0.557), Tm at (0.617, 0.005, 0.470), Tl at (0.476, 0.937, 0.951), Tl at (0.939, 0.476, 0.950) and Te at (0.135, 0.134, 0.497).

Arrangement x

First-principles (GGA-PBE) data for a geometry-optimized Tm5Tl2Te structure, as listed in Alexandria.

The space group is Pbam (No. 55) and the conventional cell measures 8.327, 12.112 and 4.496 Å, with angles of 90.00, 90.00 and 90.00 degrees. The asymmetric unit holds Tm at (0.000, 0.000, 0.000), Tm at (0.160, 0.279, 0.000), Tm at (0.212, 0.576, 0.500), Tl at (0.076, 0.824, 0.500) and Te at (0.000, 0.500, 0.000).

The data favor arrangement x; the next most stable structure lies 118 meV per atom above it.